# ZrSi2Mo PBE optimized geometry
data_ZrSi2Mo
_cell_length_a 3.850
_cell_length_b 3.850
_cell_length_c 8.681
_cell_angle_alpha 90.00
_cell_angle_beta 90.00
_cell_angle_gamma 90.00
_symmetry_space_group_name_H-M 'I -4 m 2'
_symmetry_Int_Tables_number 119
_symmetry_space_group_name_Hall 'I -4 -2'
loop_
_atom_site_label
_atom_site_fract_x
_atom_site_fract_y
_atom_site_fract_z
Zr1 0.000 0.000 0.000
Si1 0.000 0.000 0.500
Si2 0.000 0.500 0.250
Mo1 0.000 0.500 0.750
# Formation energy without anion corrections   -0.22 eV/atom
# Energy relative to the lowest polymorph listed for this composition   287.3 meV per atom
# E_tot   -0.2857 Ha/atom
# M_tot   0.0 μB/f.u.


# ZrSiMo PBE optimized geometry
data_ZrSiMo
_cell_length_a 12.231
_cell_length_b 3.561
_cell_length_c 7.038
_cell_angle_alpha 90.00
_cell_angle_beta 90.00
_cell_angle_gamma 90.00
_symmetry_space_group_name_H-M 'P m m a'
_symmetry_Int_Tables_number 51
_symmetry_space_group_name_Hall '-P 2a 2a'
loop_
_atom_site_label
_atom_site_fract_x
_atom_site_fract_y
_atom_site_fract_z
Zr1 0.051 0.000 0.250
Zr2 0.250 0.000 0.660
Si1 0.094 0.500 0.559
Si2 0.250 0.000 0.050
Mo1 0.119 0.500 0.931
Mo2 0.250 0.500 0.306
# Formation energy without anion corrections   -0.61 eV/atom
# E_tot   -0.3262 Ha/atom
# M_tot   0.0 μB/f.u.


# ZrSiMo PBE optimized geometry
data_ZrSiMo
_cell_length_a 3.728
_cell_length_b 3.883
_cell_length_c 14.365
_cell_angle_alpha 90.00
_cell_angle_beta 90.00
_cell_angle_gamma 90.00
_symmetry_space_group_name_H-M 'I m m m'
_symmetry_Int_Tables_number 71
_symmetry_space_group_name_Hall '-I 2 2'
loop_
_atom_site_label
_atom_site_fract_x
_atom_site_fract_y
_atom_site_fract_z
Zr1 0.000 0.000 0.174
Si1 0.000 0.000 0.369
Mo1 0.000 0.500 0.000
Mo2 0.000 0.500 0.500
# Formation energy without anion corrections   -0.64 eV/atom
# E_tot   -0.3275 Ha/atom
# M_tot   0.0 μB/f.u.


# ZrSiMo PBE optimized geometry
data_ZrSiMo
_cell_length_a 3.361
_cell_length_b 3.361
_cell_length_c 9.113
_cell_angle_alpha 90.00
_cell_angle_beta 90.00
_cell_angle_gamma 90.00
_symmetry_space_group_name_H-M 'I 4 m m'
_symmetry_Int_Tables_number 107
_symmetry_space_group_name_Hall 'I 4 -2'
loop_
_atom_site_label
_atom_site_fract_x
_atom_site_fract_y
_atom_site_fract_z
Zr1 0.000 0.000 0.000
Si1 0.000 0.000 0.688
Mo1 0.000 0.000 0.313
# Formation energy without anion corrections   -0.35 eV/atom
# E_tot   -0.3167 Ha/atom
# M_tot   0.0 μB/f.u.


# ZrSi2Mo PBE optimized geometry
data_ZrSi2Mo
_cell_length_a 3.931
_cell_length_b 3.931
_cell_length_c 18.466
_cell_angle_alpha 90.00
_cell_angle_beta 90.00
_cell_angle_gamma 90.00
_symmetry_space_group_name_H-M 'I -4 2 d'
_symmetry_Int_Tables_number 122
_symmetry_space_group_name_Hall 'I -4 2bw'
loop_
_atom_site_label
_atom_site_fract_x
_atom_site_fract_y
_atom_site_fract_z
Zr1 0.000 0.000 0.000
Si1 0.201 0.250 0.625
Mo1 0.000 0.000 0.500
# Formation energy without anion corrections   0.13 eV/atom
# Energy relative to the lowest polymorph listed for this composition   631.3 meV per atom
# E_tot   -0.2730 Ha/atom
# M_tot   0.0 μB/f.u.


# ZrSiMo PBE optimized geometry
data_ZrSiMo
_cell_length_a 3.424
_cell_length_b 5.250
_cell_length_c 6.410
_cell_angle_alpha 76.20
_cell_angle_beta 75.46
_cell_angle_gamma 71.62
_symmetry_space_group_name_H-M 'P 1'
_symmetry_Int_Tables_number 1
_symmetry_space_group_name_Hall 'P 1'
loop_
_atom_site_label
_atom_site_fract_x
_atom_site_fract_y
_atom_site_fract_z
Zr1 0.000 0.000 0.000
Zr2 0.134 0.312 0.365
Si1 0.411 0.387 0.706
Si2 0.443 0.759 0.334
Mo1 0.657 0.538 0.982
Mo2 0.762 0.859 0.613
# Formation energy without anion corrections   -0.35 eV/atom
# E_tot   -0.3166 Ha/atom
# M_tot   0.0 μB/f.u.


# ZrSi2Mo PBE optimized geometry
data_ZrSi2Mo
_cell_length_a 2.9728
_cell_length_b 2.9728
_cell_length_c 26.2418
_cell_angle_alpha 90.00
_cell_angle_beta 90.00
_cell_angle_gamma 120.00
_symmetry_space_group_name_H-M 'R 3 m'
_symmetry_Int_Tables_number 160
_symmetry_space_group_name_Hall 'R 3 -2"'
loop_
_atom_site_label
_atom_site_fract_x
_atom_site_fract_y
_atom_site_fract_z
Zr1 0.0000 0.0000 0.0000
Si1 0.0000 0.0000 0.2466
Si2 0.0000 0.0000 0.5062
Mo1 0.0000 0.0000 0.7653
# Formation energy without anion corrections   0.14 eV/atom
# Energy relative to the lowest polymorph listed for this composition   645.6 meV per atom
# E_tot   -0.2725 Ha/atom
# M_tot   0.0 μB/f.u.


# ZrSi2Mo PBE optimized geometry
data_ZrSi2Mo
_cell_length_a 8.082
_cell_length_b 3.608
_cell_length_c 5.080
_cell_angle_alpha 90.00
_cell_angle_beta 115.11
_cell_angle_gamma 90.00
_symmetry_space_group_name_H-M 'C 1 2/m 1'
_symmetry_Int_Tables_number 12
_symmetry_space_group_name_Hall '-C 2y'
loop_
_atom_site_label
_atom_site_fract_x
_atom_site_fract_y
_atom_site_fract_z
Zr1 0.000 0.000 0.000
Si1 0.241 0.000 0.672
Mo1 0.000 0.500 0.500
# Formation energy without anion corrections   -0.39 eV/atom
# Energy relative to the lowest polymorph listed for this composition   111.7 meV per atom
# E_tot   -0.2921 Ha/atom
# M_tot   0.0 μB/f.u.